[1]
VASP calculation (PBE) on an optimized crystal structure of CrFeI6.

Unit cell a=7.4313 b=7.4313 c=6.6000 alpha=92.50 beta=92.50 gamma=118.34
Closest atoms and distances in Å follow each position.
Element x y z (fractional)
1 Cr 0.0000 0.0000 0.0000  6 I 2.73
2 Fe 0.0000 0.0000 0.5000  6 I 2.76-2.78
3 I 0.0047 0.7063 0.2319  1 Cr 2.73, 1 Fe 2.76
4 I 0.2908 0.2908 0.2727  1 Cr 2.73, 1 Fe 2.78
5 I 0.2937 0.9953 0.7681  1 Cr 2.73, 1 Fe 2.76
6 I 0.7063 0.0047 0.2319  1 Cr 2.73, 1 Fe 2.76
7 I 0.7092 0.7092 0.7273  1 Cr 2.73, 1 Fe 2.78
8 I 0.9953 0.2937 0.7681  1 Cr 2.73, 1 Fe 2.76

## Properties
As for the total energy: -29.17 eV for the cell shown. Its crystal system is monoclinic. The total moment is 7.4 μB per cell.

=====

[2]
VASP calculation (PBE) on an optimized crystal structure of CrFe3I9.

Unit cell a=10.8569 b=10.8569 c=14.0068 alpha=123.03 beta=123.03 gamma=54.85
Closest atoms and distances in Å follow each position.
Element x y z (fractional)
1 Cr 0.2183 0.7817 0.5000  6 I 2.78-2.92
2 Cr 0.7817 0.2183 0.0000  6 I 2.78-2.92
3 Fe 0.0090 0.2523 0.8202  4 I 2.57-2.60
4 Fe 0.2523 0.0090 0.3202  4 I 2.57-2.60
5 Fe 0.2940 0.4361 0.6729  4 I 2.59-2.62
6 Fe 0.4361 0.2940 0.1729  4 I 2.59-2.62
7 Fe 0.6762 0.7865 0.2199  4 I 2.56-2.63
8 Fe 0.7865 0.6762 0.7199  4 I 2.56-2.63
9 I 0.0825 0.1710 0.1771  1 Fe 2.57, 1 Cr 2.78
10 I 0.0840 0.9210 0.3283  1 Fe 2.57, 1 Cr 2.79
11 I 0.1710 0.0825 0.6771  1 Fe 2.57, 1 Cr 2.78
12 I 0.1764 0.4134 0.0108  2 Fe 2.60-2.61
13 I 0.3046 0.6809 0.6910  1 Fe 2.59
14 I 0.3426 0.4518 0.3590  1 Fe 2.60, 1 Cr 2.86
15 I 0.4134 0.1764 0.5108  2 Fe 2.60-2.61
16 I 0.4518 0.3426 0.8590  1 Fe 2.60, 1 Cr 2.86
17 I 0.4606 0.7479 0.2236  2 Fe 2.60-2.63
18 I 0.5090 0.9883 0.1022  2 Fe 2.62-2.63
19 I 0.5183 0.7817 0.5630  1 Fe 2.56
20 I 0.6809 0.3046 0.1910  1 Fe 2.59
21 I 0.7479 0.4606 0.7236  2 Fe 2.60-2.63
22 I 0.7817 0.5183 0.0630  1 Fe 2.56
23 I 0.8169 0.8956 0.9292  1 Fe 2.57
24 I 0.8956 0.8169 0.4292  1 Fe 2.57
25 I 0.9210 0.0840 0.8283  1 Fe 2.57, 1 Cr 2.79
26 I 0.9883 0.5090 0.6022  2 Fe 2.62-2.63

## Properties
As for the total energy: -101.40 eV for the cell shown. Its crystal system is monoclinic. The total moment is 1.1 μB per cell.

=====

[3]
VASP calculation (PBE) on an optimized crystal structure of CrFe2I8.

Unit cell a=8.7759 b=8.7759 c=6.8018 alpha=91.57 beta=91.57 gamma=66.14
Closest atoms and distances in Å follow each position.
Element x y z (fractional)
1 Cr 0.0000 0.0000 0.0000  6 I 2.75-2.81
2 Fe 0.1650 0.1650 0.4008  4 I 2.50-2.61
3 Fe 0.8350 0.8350 0.5992  4 I 2.50-2.61
4 I 0.1297 0.7175 0.7673  1 Fe 2.61, 1 Cr 2.75
5 I 0.1591 0.1591 0.7826  1 Fe 2.60, 1 Cr 2.81
6 I 0.2825 0.8703 0.2327  1 Fe 2.61, 1 Cr 2.75
7 I 0.3310 0.3310 0.3325  1 Fe 2.50
8 I 0.6690 0.6690 0.6675  1 Fe 2.50
9 I 0.7175 0.1297 0.7673  1 Fe 2.61, 1 Cr 2.75
10 I 0.8409 0.8409 0.2174  1 Fe 2.60, 1 Cr 2.81
11 I 0.8703 0.2825 0.2327  1 Fe 2.61, 1 Cr 2.75

## Properties
As for the total energy: -41.32 eV for the cell shown. Its crystal system is monoclinic. The total moment is 12.0 μB per cell.

=====

[4]
VASP calculation (PBE) on an optimized crystal structure of Cr2FeI.

Unit cell a=4.2473 b=4.2473 c=4.2473 alpha=60.00 beta=60.00 gamma=60.00
Closest atoms and distances in Å follow each position.
Element x y z (fractional)
1 Cr 0.2500 0.2500 0.2500  4 Fe 2.60, 4 I 2.60
2 Cr 0.7500 0.7500 0.7500  4 Fe 2.60, 4 I 2.60
3 Fe 0.0000 0.0000 0.0000  8 Cr 2.60
4 I 0.5000 0.5000 0.5000  8 Cr 2.60

## Properties
As for the total energy: -25.21 eV for the cell shown. Its crystal system is cubic. The total moment is 0.0 μB per cell.

=====

[5]
VASP calculation (PBE) on an optimized crystal structure of CrFeI3.

Unit cell a=5.4617 b=5.4617 c=5.4617 alpha=90.00 beta=90.00 gamma=90.00
Closest atoms and distances in Å follow each position.
Element x y z (fractional)
1 Cr 0.0000 0.0000 0.0000  12 I 3.86
2 Fe 0.5000 0.5000 0.5000  6 I 2.73
3 I 0.0000 0.5000 0.5000  2 Fe 2.73
4 I 0.5000 0.0000 0.5000  2 Fe 2.73
5 I 0.5000 0.5000 0.0000  2 Fe 2.73

## Properties
As for the total energy: -20.20 eV for the cell shown. Its crystal system is cubic. The total moment is 1.3 μB per cell.

=====

[6]
VASP calculation (PBE) on an optimized crystal structure of Cr2FeI.

Unit cell a=5.6562 b=5.6562 c=5.6562 alpha=104.07 beta=104.07 gamma=120.92
Closest atoms and distances in Å follow each position.
Element x y z (fractional)
1 Cr 0.0866 0.6250 0.9616  2 Fe 2.38
2 Cr 0.3750 0.3366 0.4616  2 Fe 2.38
3 Cr 0.6634 0.1250 0.0384  2 Fe 2.38
4 Cr 0.8750 0.9134 0.5384  2 Fe 2.38
5 Fe 0.0000 0.0000 0.0000  4 Cr 2.38
6 Fe 0.7500 0.2500 0.5000  4 Cr 2.38
7 I 0.2500 0.7500 0.5000  4 Cr 2.75, 2 Fe 2.79
8 I 0.5000 0.5000 0.0000  4 Cr 2.75, 2 Fe 2.79

## Properties
As for the total energy: -50.37 eV for the cell shown. Its crystal system is tetragonal. The total moment is 6.5 μB per cell.

=====

- Among the records above, which one has the lowest total moment?
  number 4